# 1
Below is a geometry-optimized ReBiNO2 structure, with properties calculated at the PBE level.

Computed properties:
- Uncorrected energy: -7.3188 eV per atom
- ΔE_f (raw): -405 meV per atom

a b c (Å): 4.0205 4.0205 3.9589
angles (deg): 90.00 90.00 90.00
Closest atoms and distances in Å follow each position.
Atoms (fractional coordinates):
Re: 0.0000 0.0000 0.0000  2 N 1.98, 4 O 2.01
Bi: 0.5000 0.5000 0.5000  8 O 2.82, 4 N 2.84
N: 0.0000 0.0000 0.5000  2 Re 1.98
O: 0.0000 0.5000 0.0000  2 Re 2.01
O: 0.5000 0.0000 0.0000  2 Re 2.01


# 2
Below is a geometry-optimized BiRhNO2 structure, with properties calculated at the PBE level.

Computed properties:
- Uncorrected energy: -5.9300 eV per atom
- ΔE_f (raw): -35 meV per atom

a b c (Å): 4.1211 4.1211 3.7755
angles (deg): 90.00 90.00 90.00
Closest atoms and distances in Å follow each position.
Atoms (fractional coordinates):
Bi: 0.0000 0.0000 0.0000  8 O 2.79, 4 N 2.91
Rh: 0.5000 0.5000 0.5000  2 N 1.89, 4 O 2.06
N: 0.5000 0.5000 0.0000  2 Rh 1.89
O: 0.0000 0.5000 0.5000  2 Rh 2.06
O: 0.5000 0.0000 0.5000  2 Rh 2.06


# 3
Below is a geometry-optimized BiRhNO2 structure, with properties calculated at the PBE level.

Computed properties:
- Uncorrected energy: -4.9881 eV per atom
- ΔE_f (raw): 907 meV per atom

a b c (Å): 4.2151 4.2151 4.3053
angles (deg): 90.00 90.00 90.00
Closest atoms and distances in Å follow each position.
Atoms (fractional coordinates):
Bi: 0.0000 0.0000 0.0000  4 O 2.11, 2 N 2.15
Rh: 0.5000 0.5000 0.5000  4 N 2.98, 8 O 3.01
N: 0.0000 0.0000 0.5000  2 Bi 2.15
O: 0.0000 0.5000 0.0000  2 Bi 2.11
O: 0.5000 0.0000 0.0000  2 Bi 2.11


# 4
Below is a geometry-optimized BiRhN2O structure, with properties calculated at the PBE level.

Computed properties:
- Uncorrected energy: -5.9469 eV per atom
- ΔE_f (raw): 621 meV per atom

a b c (Å): 3.9098 3.9098 4.1341
angles (deg): 90.00 90.00 90.00
Closest atoms and distances in Å follow each position.
Atoms (fractional coordinates):
Bi: 0.0000 0.0000 0.0000  4 O 2.76, 8 N 2.85
Rh: 0.5000 0.5000 0.5000  4 N 1.95, 2 O 2.07
N: 0.0000 0.5000 0.5000  2 Rh 1.95
N: 0.5000 0.0000 0.5000  2 Rh 1.95
O: 0.5000 0.5000 0.0000  2 Rh 2.07


# 5
Below is a geometry-optimized BiRhN2O structure, with properties calculated at the PBE level.

Computed properties:
- Uncorrected energy: -4.8765 eV per atom
- ΔE_f (raw): 1692 meV per atom

a b c (Å): 4.3105 4.3105 4.2387
angles (deg): 90.00 90.00 90.00
Closest atoms and distances in Å follow each position.
Atoms (fractional coordinates):
Bi: 0.0000 0.0000 0.0000  2 O 2.12, 4 N 2.16
Rh: 0.5000 0.5000 0.5000  8 N 3.02, 4 O 3.05
N: 0.0000 0.5000 0.0000  2 Bi 2.16
N: 0.5000 0.0000 0.0000  2 Bi 2.16
O: 0.0000 0.0000 0.5000  2 Bi 2.12


# 6
Below is a geometry-optimized BiRuNO2 structure, with properties calculated at the PBE level.

Computed properties:
- Uncorrected energy: -5.3079 eV per atom
- ΔE_f (raw): 972 meV per atom

a b c (Å): 4.2228 4.2228 4.2960
angles (deg): 90.00 90.00 90.00
Closest atoms and distances in Å follow each position.
Atoms (fractional coordinates):
Bi: 0.0000 0.0000 0.0000  4 O 2.11, 2 N 2.15
Ru: 0.5000 0.5000 0.5000  4 N 2.99, 8 O 3.01
N: 0.0000 0.0000 0.5000  2 Bi 2.15
O: 0.0000 0.5000 0.0000  2 Bi 2.11
O: 0.5000 0.0000 0.0000  2 Bi 2.11


# 7
Below is a geometry-optimized BiRuNO2 structure, with properties calculated at the PBE level.

Computed properties:
- Uncorrected energy: -6.4657 eV per atom
- ΔE_f (raw): -186 meV per atom

a b c (Å): 4.1143 4.1143 3.7485
angles (deg): 90.00 90.00 90.00
Closest atoms and distances in Å follow each position.
Atoms (fractional coordinates):
Bi: 0.0000 0.0000 0.0000  8 O 2.78, 4 N 2.91
Ru: 0.5000 0.5000 0.5000  2 N 1.87, 4 O 2.06
N: 0.5000 0.5000 0.0000  2 Ru 1.87
O: 0.0000 0.5000 0.5000  2 Ru 2.06
O: 0.5000 0.0000 0.5000  2 Ru 2.06


# 8
Below is a geometry-optimized BiSNO2 structure, with properties calculated at the PBE level.

Computed properties:
- Uncorrected energy: -4.9944 eV per atom
- ΔE_f (raw): 256 meV per atom

a b c (Å): 3.8451 3.8451 3.9424
angles (deg): 90.00 90.00 90.00
Closest atoms and distances in Å follow each position.
Atoms (fractional coordinates):
Bi: 0.0000 0.0000 0.0000  4 N 2.72, 8 O 2.75
S: 0.5000 0.5000 0.5000  4 O 1.92, 2 N 1.97
N: 0.5000 0.5000 0.0000  2 S 1.97
O: 0.0000 0.5000 0.5000  2 S 1.92
O: 0.5000 0.0000 0.5000  2 S 1.92


# 9
Below is a geometry-optimized BiSNO2 structure, with properties calculated at the PBE level.

Computed properties:
- Uncorrected energy: -4.2673 eV per atom
- ΔE_f (raw): 983 meV per atom

a b c (Å): 4.1663 4.1663 4.6408
angles (deg): 90.00 90.00 90.00
Closest atoms and distances in Å follow each position.
Atoms (fractional coordinates):
Bi: 0.0000 0.0000 0.0000  4 O 2.08, 2 N 2.32
S: 0.5000 0.5000 0.5000  4 N 2.95, 8 O 3.12
N: 0.0000 0.0000 0.5000  2 Bi 2.32
O: 0.0000 0.5000 0.0000  2 Bi 2.08
O: 0.5000 0.0000 0.0000  2 Bi 2.08


# 10
Below is a geometry-optimized BiSbN2O structure, with properties calculated at the PBE level.

Computed properties:
- Uncorrected energy: -5.5996 eV per atom
- ΔE_f (raw): 323 meV per atom

a b c (Å): 4.1257 4.1257 3.9728
angles (deg): 90.00 90.00 90.00
Closest atoms and distances in Å follow each position.
Atoms (fractional coordinates):
Bi: 0.0000 0.0000 0.0000  8 N 2.86, 4 O 2.92
Sb: 0.5000 0.5000 0.5000  2 O 1.99, 4 N 2.06
N: 0.0000 0.5000 0.5000  2 Sb 2.06
N: 0.5000 0.0000 0.5000  2 Sb 2.06
O: 0.5000 0.5000 0.0000  2 Sb 1.99


# 11
Below is a geometry-optimized BiSbNO2 structure, with properties calculated at the PBE level.

Computed properties:
- Uncorrected energy: -5.5060 eV per atom
- ΔE_f (raw): -257 meV per atom

a b c (Å): 4.1040 4.1040 4.2023
angles (deg): 90.00 90.00 90.00
Closest atoms and distances in Å follow each position.
Atoms (fractional coordinates):
Bi: 0.0000 0.0000 0.0000  4 N 2.90, 8 O 2.94
Sb: 0.5000 0.5000 0.5000  4 O 2.05, 2 N 2.10
N: 0.5000 0.5000 0.0000  2 Sb 2.10
O: 0.0000 0.5000 0.5000  2 Sb 2.05
O: 0.5000 0.0000 0.5000  2 Sb 2.05


# 12
Below is a geometry-optimized BiSbN2O structure, with properties calculated at the PBE level.

Computed properties:
- Uncorrected energy: -4.9258 eV per atom
- ΔE_f (raw): 997 meV per atom

a b c (Å): 4.3271 4.3271 4.1802
angles (deg): 90.00 90.00 90.00
Closest atoms and distances in Å follow each position.
Atoms (fractional coordinates):
Bi: 0.0000 0.0000 0.0000  2 O 2.09, 4 N 2.16
Sb: 0.5000 0.5000 0.5000  8 N 3.01, 4 O 3.06
N: 0.0000 0.5000 0.0000  2 Bi 2.16
N: 0.5000 0.0000 0.0000  2 Bi 2.16
O: 0.0000 0.0000 0.5000  2 Bi 2.09